[1]
Density functional theory data (PBE) for crystalline CaAg2Hg at its relaxed geometry.

Cell: 5.0128 5.0128 5.0128 Å, 60.00 60.00 60.00°
Last column: nearest neighbours and their distance in Å.
Positions (direct):
Ca: 0.5000 0.5000 0.5000  4 Ag 3.07, 4 Hg 3.07
Hg: 0.7500 0.7500 0.7500  4 Ca 3.07, 4 Ag 3.07
Ag: 0.0000 0.0000 0.0000  4 Hg 3.07, 4 Ag 3.07
Ag: 0.2500 0.2500 0.2500  4 Ag 3.07, 4 Ca 3.07

Calculated values
As for the total energy: -2.25 eV/atom. The space group is F-43m. As for the total magnetic moment: 0.000 μB per cell. The calculation puts the calculated volume at 22.27 Å³ per atom. For the density, the calculation gives 8509 kg/m³.

[2]
Density functional theory data (PBE) for crystalline Ca2Ag2Hg3 at its relaxed geometry.

Cell: 3.5679 4.8869 10.3733 Å, 103.29 90.00 90.00°
Last column: nearest neighbours and their distance in Å.
Positions (direct):
Ca: 0.5000 0.1421 0.2829  4 Ag 3.32-3.35, 8 Hg 3.33-3.47, 2 Ca 3.57
Ca: 0.5000 0.8579 0.7171  4 Ag 3.32-3.35, 8 Hg 3.33-3.47, 2 Ca 3.57
Ag: 0.0000 0.4299 0.8565  3 Hg 2.81-2.84, 1 Ag 2.90
Ag: 0.0000 0.5701 0.1435  3 Hg 2.81-2.84, 1 Ag 2.90
Hg: 0.0000 0.2881 0.5778  1 Ag 2.81, 2 Hg 2.90-2.91
Hg: 0.0000 0.0000 0.0000  4 Ag 2.84
Hg: 0.0000 0.7119 0.4222  1 Ag 2.81, 2 Hg 2.90-2.91

Calculated values
The space group is P2/m. As for the total magnetic moment: 0.000 μB per cell. The calculation puts the calculated volume at 25.15 Å³ per atom. For the density, the calculation gives 8468 kg/m³. The calculation puts the distance to the lowest polymorph of the same formula at 16.6 kJ/mol of formula units.

[3]
Density functional theory data (PBE) for crystalline CaHoAgHg at its relaxed geometry.

Cell: 3.6796 3.6796 7.5011 Å, 90.00 90.00 90.00°
Last column: nearest neighbours and their distance in Å.
Positions (direct):
Ca: 0.5000 0.5000 0.1114  4 Ag 3.27, 4 Hg 3.29, 1 Ho 3.65
Ho: 0.5000 0.5000 0.5985  4 Ag 3.10, 4 Hg 3.18
Ag: 0.0000 0.0000 0.3750  4 Ho 3.10, 4 Ca 3.27
Hg: 0.0000 0.0000 0.8430  4 Ho 3.18, 4 Ca 3.29, 1 Ag 3.51

Calculated values
The space group is P4mm. As for the total magnetic moment: 0.000 μB per cell. The calculation puts the calculated volume at 25.39 Å³ per atom. For the density, the calculation gives 8395 kg/m³. The calculation puts the distance to the lowest polymorph of the same formula at 0.0 kJ/mol of formula units.

[4]
Density functional theory data (PBE) for crystalline CaHoAg2Hg4 at its relaxed geometry.

Cell: 5.0501 5.0501 8.6896 Å, 73.11 73.11 60.00°
Last column: nearest neighbours and their distance in Å.
Positions (direct):
Ca: 0.0000 0.0000 0.0000  8 Hg 3.09-3.11
Ho: 0.5000 0.5000 0.5000  8 Hg 3.06-3.08
Ag: 0.7503 0.7503 0.7491  8 Hg 3.02-3.10
Ag: 0.2497 0.2497 0.2509  8 Hg 3.02-3.10
Hg: 0.3753 0.3753 0.8742  1 Ho 3.06, 4 Ag 3.08-3.09, 3 Ca 3.09
Hg: 0.8734 0.8734 0.3797  4 Ag 3.02-3.10, 3 Ho 3.08, 1 Ca 3.11
Hg: 0.1266 0.1266 0.6203  4 Ag 3.02-3.10, 3 Ho 3.08, 1 Ca 3.11
Hg: 0.6247 0.6247 0.1258  1 Ho 3.06, 4 Ag 3.08-3.09, 3 Ca 3.09

Calculated values
As for the total energy: -2.00 eV/atom. The space group is R-3m. As for the total magnetic moment: 0.000 μB per cell. The calculation puts the calculated volume at 22.60 Å³ per atom. For the density, the calculation gives 11234 kg/m³.

[5]
Density functional theory data (PBE) for crystalline CaHoAgHg at its relaxed geometry.

Cell: 5.2157 5.2157 5.2157 Å, 60.00 60.00 60.00°
Last column: nearest neighbours and their distance in Å.
Positions (direct):
Ca: 0.0000 0.0000 0.0000  4 Hg 3.19, 4 Ag 3.19
Hg: 0.7500 0.7500 0.7500  4 Ho 3.19, 4 Ca 3.19
Ag: 0.2500 0.2500 0.2500  4 Ho 3.19, 4 Ca 3.19
Ho: 0.5000 0.5000 0.5000  4 Hg 3.19, 4 Ag 3.19

Calculated values
The space group is F-43m. As for the total magnetic moment: 0.000 μB per cell. The calculation puts the calculated volume at 25.08 Å³ per atom. For the density, the calculation gives 8498 kg/m³. The calculation puts the distance to the lowest polymorph of the same formula at 4.9 kJ/mol of formula units.

[6]
Density functional theory data (PBE) for crystalline CaInAgHg2 at its relaxed geometry.

Cell: 5.4596 5.2593 5.4596 Å, 90.00 90.00 90.00°
Last column: nearest neighbours and their distance in Å.
Positions (direct):
Ca: 0.5000 0.5000 0.5000  8 Hg 3.79, 4 Ag 3.86
Hg: 0.0000 0.0000 0.5000  2 In 2.73
Hg: 0.5000 0.0000 0.0000  2 In 2.73
Ag: 0.0000 0.5000 0.0000  2 In 2.63
In: 0.0000 0.0000 0.0000  2 Ag 2.63, 4 Hg 2.73

Calculated values
As for the total energy: -1.55 eV/atom. The space group is P4/mmm. As for the total magnetic moment: 0.000 μB per cell. The calculation puts the calculated volume at 31.35 Å³ per atom. For the density, the calculation gives 7033 kg/m³.

[7]
Density functional theory data (PBE) for crystalline CaIn2Ag2Hg2 at its relaxed geometry.

Cell: 4.2574 5.2322 8.1882 Å, 96.42 90.00 114.01°
Last column: nearest neighbours and their distance in Å.
Positions (direct):
Ca: 0.0000 0.0000 0.0000  6 Hg 3.15-3.16, 4 Ag 3.45, 2 In 3.50
In: 0.1345 0.2690 0.4176  5 Ag 2.98-3.19, 3 In 3.05-3.24, 2 Hg 3.15
In: 0.8655 0.7310 0.5824  5 Ag 2.98-3.19, 3 In 3.05-3.24, 2 Hg 3.15
Ag: 0.5754 0.1508 0.6903  5 In 2.98-3.19, 3 Hg 3.05-3.17, 1 Ag 3.27
Ag: 0.4246 0.8492 0.3097  5 In 2.98-3.19, 3 Hg 3.05-3.17, 1 Ag 3.27
Hg: 0.7172 0.4343 0.1634  3 Ag 3.05-3.17, 2 In 3.15, 3 Ca 3.15-3.16
Hg: 0.2828 0.5657 0.8366  3 Ag 3.05-3.17, 2 In 3.15, 3 Ca 3.15-3.16

Calculated values
As for the total energy: -2.14 eV/atom. The space group is C2/m. As for the total magnetic moment: 0.000 μB per cell. The calculation puts the calculated volume at 23.62 Å³ per atom. For the density, the calculation gives 8903 kg/m³.

[8]
Density functional theory data (PBE) for crystalline Ca3In2Ag4Hg2 at its relaxed geometry.

Cell: 4.8904 4.8904 13.4320 Å, 90.00 90.00 120.00°
Last column: nearest neighbours and their distance in Å.
Positions (direct):
Ca: 0.0000 0.0000 0.7275  6 Ag 3.12-3.38, 3 Hg 3.33, 3 In 3.46
Ca: 0.0000 0.0000 0.0000  6 Ag 3.34, 6 Hg 3.40, 2 Ca 3.66
Ca: 0.0000 0.0000 0.2725  6 Ag 3.12-3.38, 3 Hg 3.33, 3 In 3.46
In: 0.6667 0.3333 0.4217  4 Ag 2.79-2.91
In: 0.3333 0.6667 0.5783  4 Ag 2.79-2.91
Ag: 0.6667 0.3333 0.1335  3 Hg 2.82
Ag: 0.3333 0.6667 0.8665  3 Hg 2.82
Ag: 0.6667 0.3333 0.6292  4 In 2.79-2.91, 1 Hg 3.09, 3 Ca 3.12
Ag: 0.3333 0.6667 0.3708  4 In 2.79-2.91, 1 Hg 3.09, 3 Ca 3.12
Hg: 0.6667 0.3333 0.8596  4 Ag 2.82-3.09
Hg: 0.3333 0.6667 0.1404  4 Ag 2.82-3.09

Calculated values
As for the total energy: -2.41 eV/atom. The space group is P-3m1. As for the total magnetic moment: 0.000 μB per cell. The calculation puts the calculated volume at 25.29 Å³ per atom. For the density, the calculation gives 7058 kg/m³.

[9]
Density functional theory data (PBE) for crystalline KCaAgHg at its relaxed geometry.

Cell: 5.5556 5.5556 5.5556 Å, 60.00 60.00 60.00°
Last column: nearest neighbours and their distance in Å.
Positions (direct):
K: 0.2500 0.2500 0.2500  4 Ag 3.40, 4 Hg 3.40
Ca: 0.7500 0.7500 0.7500  4 Hg 3.40, 4 Ag 3.40
Hg: 0.5000 0.5000 0.5000  4 K 3.40, 4 Ca 3.40
Ag: 0.0000 0.0000 0.0000  4 Ca 3.40, 4 K 3.40

Calculated values
As for the total energy: -1.69 eV/atom. The space group is F-43m. As for the total magnetic moment: 0.000 μB per cell. The calculation puts the calculated volume at 30.31 Å³ per atom. For the density, the calculation gives 5309 kg/m³.

[10]
Density functional theory data (PBE) for crystalline Ca2LaAgHg at its relaxed geometry.

Cell: 6.1916 5.6928 6.1916 Å, 90.00 90.00 90.00°
Last column: nearest neighbours and their distance in Å.
Positions (direct):
Ca: 0.0000 0.0000 0.5000  2 La 3.10
Ca: 0.5000 0.0000 0.0000  2 La 3.10
Hg: 0.0000 0.5000 0.0000  2 La 2.85
Ag: 0.5000 0.5000 0.5000  8 Ca 4.21, 4 Hg 4.38
La: 0.0000 0.0000 0.0000  2 Hg 2.85, 4 Ca 3.10

Calculated values
As for the total energy: -1.57 eV/atom. The space group is P4/mmm. As for the total magnetic moment: 0.000 μB per cell. The calculation puts the calculated volume at 43.65 Å³ per atom. For the density, the calculation gives 4014 kg/m³.

[11]
Density functional theory data (PBE) for crystalline CaLaAgHg2 at its relaxed geometry.

Cell: 5.3499 5.3021 5.3499 Å, 90.00 90.00 90.00°
Last column: nearest neighbours and their distance in Å.
Positions (direct):
Ca: 0.0000 0.5000 0.0000  2 Ag 2.65
Hg: 0.0000 0.0000 0.5000  2 Ag 2.67
Hg: 0.5000 0.0000 0.0000  2 Ag 2.67
Ag: 0.0000 0.0000 0.0000  2 Ca 2.65, 4 Hg 2.67
La: 0.5000 0.5000 0.5000  8 Hg 3.77, 4 Ca 3.78

Calculated values
As for the total energy: -2.05 eV/atom. The space group is P4/mmm. As for the total magnetic moment: 0.000 μB per cell. The calculation puts the calculated volume at 30.35 Å³ per atom. For the density, the calculation gives 7529 kg/m³.

[12]
Density functional theory data (PBE) for crystalline CaLaAgHg at its relaxed geometry.

Cell: 5.3893 5.3893 5.3893 Å, 60.00 60.00 60.00°
Last column: nearest neighbours and their distance in Å.
Positions (direct):
Ca: 0.7500 0.7500 0.7500  4 Hg 3.30, 4 Ag 3.30
Hg: 0.5000 0.5000 0.5000  4 La 3.30, 4 Ca 3.30
Ag: 0.0000 0.0000 0.0000  4 La 3.30, 4 Ca 3.30
La: 0.2500 0.2500 0.2500  4 Hg 3.30, 4 Ag 3.30

Calculated values
As for the total energy: -2.95 eV/atom. The space group is F-43m. As for the total magnetic moment: 0.000 μB per cell. The calculation puts the calculated volume at 27.67 Å³ per atom. For the density, the calculation gives 7313 kg/m³.